Computed, not measured: an optimized crystal structure of MnHPd3 at the PBE level of DFT.

Calculated values
As for the density of states at the Fermi level: 0.386 states/eV per atom. For the distance to the lowest polymorph of the same formula, the calculation gives 72 meV per atom.

a = 4.7861 Å, b = 4.7888 Å, c = 6.4271 Å
α = 105.78°, β = 105.76°, γ = 105.57°
With the nearest neighbours (Å) after each atom.
Space group P1 (No. 1)
One atom of each set of equivalent atoms:
Mn: 0.0000 0.0000 0.0000 [1 per cell]  1 H 2.28
Mn: 0.4940 0.4982 0.0001 [1 per cell]  1 H 2.29
H: 0.0155 0.5176 0.5352 [1 per cell]  4 Pd 1.91-1.98
H: 0.9001 0.9025 0.3064 [1 per cell]  4 Pd 1.87-1.95
Pd: 0.1210 0.6218 0.2435 [1 per cell]  1 H 1.95
Pd: 0.2544 0.2569 0.5062 [1 per cell]  2 H 1.87-1.91
Pd: 0.3830 0.8854 0.7649 [1 per cell]  1 H 1.97
Pd: 0.6165 0.1201 0.2435 [1 per cell]  1 H 1.95
Pd: 0.7455 0.7473 0.5063 [1 per cell]  2 H 1.87-1.91
Pd: 0.8755 0.3773 0.7650 [1 per cell]  1 H 1.98